VASP calculation (PBE+U) on a relaxed structure of CoHN2F.

```
data_CoHN2F
_chemical_formula_sum 'Co1 H1 N2 F1'
_cell_length_a 2.947
_cell_length_b 2.947
_cell_length_c 4.612
_cell_angle_alpha 90.00
_cell_angle_beta 90.00
_cell_angle_gamma 90.00
_space_group_name_H-M_alt 'P 1'
_space_group_IT_number 1
_space_group_name_Hall 'P 1'
loop_
_atom_site_label
_atom_site_type_symbol
_atom_site_fract_x
_atom_site_fract_y
_atom_site_fract_z
_atom_site_occupancy
Co1 Co 0.000 0.000 0.000 1
H1 H 0.500 0.500 0.500 1
N1 N 0.000 0.500 0.500 1
N2 N 0.500 0.000 0.500 1
F1 F 0.500 0.500 0.000 1
```

Calculated values
Energy relative to the lowest polymorph listed for this composition in eV per atom: 0.000
DOS(E_F) in states/eV/cell: 4.1
Total magnetization in μB/cell: 3.2
SG: P4/mmm